Crystalline ZrBe3Mo at its relaxed geometry. Source: the Alexandria database, functional PBE.

The calculation puts the formation enthalpy at 0 K at 1.935 eV/atom. The calculated volume is 15.84 A^3/atom. As for the density of states at the Fermi level: 6.43 states/eV/cell. The calculation puts the energy relative to the lowest polymorph listed for this composition at 1355 meV/atom.

a b c (Å): 4.2948 4.2948 4.2948
angles (deg): 90.00 90.00 90.00
Last column: nearest neighbours and their distance in Å.
Fractional positions:
Be: 0.0000 0.5000 0.0000  2 Zr 2.15
Be: 0.0000 0.0000 0.5000  2 Zr 2.15
Be: 0.5000 0.0000 0.0000  2 Zr 2.15
Mo: 0.5000 0.5000 0.5000  12 Be 3.04
Zr: 0.0000 0.0000 0.0000  6 Be 2.15

Crystalline SrCdSi at its relaxed geometry. Source: the Alexandria database, functional PBE.

The calculated volume is 25.40 A^3/atom. As for the density of states at the Fermi level: 2.02 states/eV/cell. The uncorrected formation energy is -0.27 eV/atom.

a b c (Å): 6.1189 6.1192 4.8170
angles (deg): 113.19 66.81 99.13
Last column: nearest neighbours and their distance in Å.
Fractional positions:
Sr: 0.0187 0.1054 0.4117  6 Cd 3.26-3.53, 6 Si 3.29-3.60
Sr: 0.6087 0.5155 0.3218  6 Cd 3.26-3.53, 6 Si 3.29-3.60
Si: 0.5764 0.9313 0.0464  2 Si 2.66-2.67, 1 Cd 2.79
Si: 0.4346 0.0731 0.6870  2 Si 2.66-2.67, 1 Cd 2.79
Cd: 0.2185 0.5182 0.0183  2 Si 2.79-3.07, 2 Cd 2.87-2.88
Cd: 0.0216 0.7152 0.7151  2 Si 2.79-3.07, 2 Cd 2.87-2.88

| no. | VASP energy (eV per atom) |
| --- | --- |
| 1 | -4.177 |
| 2 | -2.945 |